The following is a GGA-PBE calculation of an optimized crystal structure of AlIn2Sb, from the Alexandria database.

Output
space-group type	Pm (6)
calculated volume	104	Å³ per cell
offset from the most stable computed form	0.030	eV/atom
E_tot	-3.2333	eV per atom
E_form (uncorrected)	0.4	eV per formula unit

abc: 4.0707 3.2049 8.5770
angles: 68.03 90.00 90.00
Fractional coordinates of all 4 atoms:
Al  0.5000  0.6070  0.7697
Sb  0.0000  0.8438  0.5267
In  0.5000  0.1457  0.2306
In  0.0000  0.9035  0.9730

=====

The following is a GGA-PBE calculation of an optimized crystal structure of PmThTaN3, from the Alexandria database.

Output
space-group type	P2_1/m (11)
calculated volume	239	Å³ per cell
E_tot	-9.2811	eV per atom
E_form (uncorrected)	-6.7	eV per formula unit

abc: 3.6641 7.3118 9.0296
angles: 99.60 90.00 90.00
Fractional coordinates of all 12 atoms:
Th  0.2500  0.6491  0.1537
Th  0.7500  0.3509  0.8463
N  0.2500  0.8620  0.4095
N  0.2500  0.1039  0.8612
N  0.7500  0.1380  0.5905
N  0.7500  0.4078  0.1121
N  0.2500  0.5922  0.8879
N  0.7500  0.8961  0.1388
Ta  0.7500  0.9594  0.3788
Ta  0.2500  0.0406  0.6212
Pm  0.2500  0.1647  0.1321
Pm  0.7500  0.8353  0.8679

=====

The following is a GGA-PBE calculation of an optimized crystal structure of Nd3AsCl3, from the Alexandria database.

Output
space-group type	R-3 (148)
calculated volume	451	Å³ per cell
E_tot	-5.2447	eV per atom
E_form (uncorrected)	-12.2	eV per formula unit

abc: 7.1457 7.1457 10.9929
angles: 71.03 71.03 60.00
Fractional coordinates of all 14 atoms:
Cl  0.2244  0.5589  0.3251
Cl  0.4411  0.1083  0.6749
Cl  0.7756  0.4411  0.6749
Cl  0.8917  0.2244  0.3251
Cl  0.1083  0.7756  0.6749
Cl  0.5589  0.8917  0.3251
Nd  0.9458  0.6091  0.1624
Nd  0.3909  0.7172  0.8376
Nd  0.0542  0.3909  0.8376
Nd  0.6091  0.2828  0.1624
Nd  0.2828  0.9458  0.1624
Nd  0.7172  0.0542  0.8376
As  0.3333  0.3333  0.0001
As  0.6667  0.6667  0.9999

=====

The following is a GGA-PBE calculation of an optimized crystal structure of CdPtBr, from the Alexandria database.

Output
space-group type	I4mm (107)
calculated volume	63	Å³ per cell
offset from the most stable computed form	0.071	eV/atom
E_tot	-2.7710	eV per atom
E_form (uncorrected)	0.3	eV per formula unit

abc: 6.2250 6.2250 6.2250
angles: 149.19 149.16 44.15
Fractional coordinates of all 3 atoms:
Br  0.0045  0.0045  0.0000
Pt  0.6809  0.6809  0.0000
Cd  0.3146  0.3146  0.0000